A plane-wave DFT calculation with PBE-GGA was carried out for ScBeF2 after structural relaxation.

Structure (CIF):
```
data_ScBeF2
_chemical_formula_sum 'Sc3 Be3 F6'
_cell_length_a 2.8822
_cell_length_b 2.8822
_cell_length_c 20.1616
_cell_angle_alpha 90.00
_cell_angle_beta 90.00
_cell_angle_gamma 120.00
_space_group_name_H-M_alt 'R -3 m'
_space_group_IT_number 166
_space_group_name_Hall '-R 3 2"'
loop_
_atom_site_label
_atom_site_type_symbol
_atom_site_fract_x
_atom_site_fract_y
_atom_site_fract_z
Sc1 Sc 0.0000 0.0000 0.0000
Be1 Be 0.0000 0.0000 0.5000
F1 F 0.0000 0.0000 0.4093
```

Summary:
Its uncorrected formation energy is -1775.2 meV/atom. The value obtained for the density is 3.158 g/cm³. The value obtained for the density of states at the Fermi level is 0.17 states/eV/atom. As for the energy above the lowest structure with this stoichiometry: 0 meV per atom. The calculation puts the total energy at -62.70 eV for the cell shown.

=====

A plane-wave DFT calculation with PBE-GGA was carried out for ScBeF2 after structural relaxation.

Structure (CIF):
```
data_ScBeF2
_chemical_formula_sum 'Sc4 Be4 F8'
_cell_length_a 5.4181
_cell_length_b 5.4181
_cell_length_c 7.7739
_cell_angle_alpha 90.00
_cell_angle_beta 90.00
_cell_angle_gamma 90.00
_space_group_name_H-M_alt 'I 41/a m d'
_space_group_IT_number 141
loop_
_space_group_symop_operation_xyz
'x,y,z'
'-x,-y,-z'
'-y+1/4,x+3/4,z+1/4'
'y+1/4,-x+3/4,-z+1/4'
'-x+1/2,-y,z+1/2'
'x+1/2,y,-z+1/2'
'y+1/4,-x+1/4,z+3/4'
'-y+1/4,x+1/4,-z+3/4'
'x,-y,-z'
'-x,y,z'
'-y+1/4,-x+1/4,-z+3/4'
'y+1/4,x+1/4,z+3/4'
'-x+1/2,y,-z+1/2'
'x+1/2,-y,z+1/2'
'y+1/4,x+3/4,-z+1/4'
'-y+1/4,-x+3/4,z+1/4'
'x+1/2,y+1/2,z+1/2'
'-x+1/2,-y+1/2,-z+1/2'
'-y+3/4,x+1/4,z+3/4'
'y+3/4,-x+1/4,-z+3/4'
'-x,-y+1/2,z'
'x,y+1/2,-z'
'y+3/4,-x+3/4,z+1/4'
'-y+3/4,x+3/4,-z+1/4'
'x+1/2,-y+1/2,-z+1/2'
'-x+1/2,y+1/2,z+1/2'
'-y+3/4,-x+3/4,-z+1/4'
'y+3/4,x+3/4,z+1/4'
'-x,y+1/2,-z'
'x,-y+1/2,z'
'y+3/4,x+1/4,-z+3/4'
'-y+3/4,-x+1/4,z+3/4'
loop_
_atom_site_label
_atom_site_type_symbol
_atom_site_fract_x
_atom_site_fract_y
_atom_site_fract_z
Sc1 Sc 0.0000 0.2500 0.3750
Be1 Be 0.0000 0.2500 0.8750
F1 F 0.0000 0.0000 0.0000
```

Summary:
Its uncorrected formation energy is -1574.5 meV/atom. The value obtained for the density is 2.677 g/cm³. The value obtained for the density of states at the Fermi level is 0.51 states/eV/atom. As for the energy above the lowest structure with this stoichiometry: 201 meV per atom. The calculation puts the total energy at -80.39 eV for the cell shown.

=====

A plane-wave DFT calculation with PBE-GGA was carried out for ScBe2F after structural relaxation.

Structure (CIF):
```
data_ScBe2F
_chemical_formula_sum 'Sc4 Be8 F4'
_cell_length_a 6.1239
_cell_length_b 6.1239
_cell_length_c 6.1239
_cell_angle_alpha 90.00
_cell_angle_beta 90.00
_cell_angle_gamma 90.00
_space_group_name_H-M_alt 'F m -3 m'
_space_group_IT_number 225
_space_group_name_Hall '-F 4 2 3'
loop_
_atom_site_label
_atom_site_type_symbol
_atom_site_fract_x
_atom_site_fract_y
_atom_site_fract_z
Sc1 Sc 0.0000 0.0000 0.0000
Be1 Be 0.2500 0.2500 0.2500
F1 F 0.0000 0.0000 0.5000
```

Summary:
Its uncorrected formation energy is 335.3 meV/atom. The value obtained for the density is 2.371 g/cm³. The value obtained for the density of states at the Fermi level is 1.04 states/eV/atom. As for the energy above the lowest structure with this stoichiometry: 538 meV per atom. The calculation puts the total energy at -57.26 eV for the cell shown.

=====

A plane-wave DFT calculation with PBE-GGA was carried out for ScBe2F2 after structural relaxation.

Structure (CIF):
```
data_ScBe2F2
_chemical_formula_sum 'Sc2 Be4 F4'
_cell_length_a 7.5112
_cell_length_b 7.5112
_cell_length_c 2.4116
_cell_angle_alpha 90.00
_cell_angle_beta 90.00
_cell_angle_gamma 90.00
_space_group_name_H-M_alt 'P 4/m b m'
_space_group_IT_number 127
_space_group_name_Hall '-P 4 2ab'
loop_
_atom_site_label
_atom_site_type_symbol
_atom_site_fract_x
_atom_site_fract_y
_atom_site_fract_z
Sc1 Sc 0.0000 0.0000 0.0000
Be1 Be 0.1103 0.3897 0.0000
F1 F 0.1016 0.6016 0.5000
```

Summary:
Its uncorrected formation energy is -452.1 meV/atom. The value obtained for the density is 2.465 g/cm³. The value obtained for the density of states at the Fermi level is 0.33 states/eV/atom. As for the energy above the lowest structure with this stoichiometry: 431 meV per atom. The calculation puts the total energy at -39.57 eV for the cell shown.

=====

A plane-wave DFT calculation with PBE-GGA was carried out for ScBeF2 after structural relaxation.

Structure (CIF):
```
data_ScBeF2
_chemical_formula_sum 'Sc4 Be4 F8'
_cell_length_a 5.8289
_cell_length_b 5.8289
_cell_length_c 5.8289
_cell_angle_alpha 90.00
_cell_angle_beta 90.00
_cell_angle_gamma 90.00
_space_group_name_H-M_alt 'F m -3 m'
_space_group_IT_number 225
_space_group_name_Hall '-F 4 2 3'
loop_
_atom_site_label
_atom_site_type_symbol
_atom_site_fract_x
_atom_site_fract_y
_atom_site_fract_z
Sc1 Sc 0.0000 0.0000 0.0000
Be1 Be 0.0000 0.0000 0.5000
F1 F 0.2500 0.2500 0.2500
```

Summary:
Its uncorrected formation energy is -1283.1 meV/atom. The value obtained for the density is 3.084 g/cm³. The value obtained for the density of states at the Fermi level is 0.68 states/eV/atom. As for the energy above the lowest structure with this stoichiometry: 492 meV per atom. The calculation puts the total energy at -75.73 eV for the cell shown.

=====

A plane-wave DFT calculation with PBE-GGA was carried out for Sc3BeF after structural relaxation.

Structure (CIF):
```
data_Sc3BeF
_chemical_formula_sum 'Sc3 Be1 F1'
_cell_length_a 4.3884
_cell_length_b 4.3884
_cell_length_c 4.3884
_cell_angle_alpha 90.00
_cell_angle_beta 90.00
_cell_angle_gamma 90.00
_space_group_name_H-M_alt 'P m -3 m'
_space_group_IT_number 221
_space_group_name_Hall '-P 4 2 3'
loop_
_atom_site_label
_atom_site_type_symbol
_atom_site_fract_x
_atom_site_fract_y
_atom_site_fract_z
Sc1 Sc 0.0000 0.0000 0.5000
Be1 Be 0.5000 0.5000 0.5000
F1 F 0.0000 0.0000 0.0000
```

Summary:
Its uncorrected formation energy is -727.4 meV/atom. The value obtained for the density is 3.200 g/cm³. The value obtained for the density of states at the Fermi level is 0.91 states/eV/atom. As for the energy above the lowest structure with this stoichiometry: 0 meV per atom. The calculation puts the total energy at -28.23 eV for the cell shown.

=====

A plane-wave DFT calculation with PBE-GGA was carried out for ScBeSn2F after structural relaxation.

Structure (CIF):
```
data_ScBeSn2F
_chemical_formula_sum 'Sc1 Be1 Sn2 F1'
_cell_length_a 5.7461
_cell_length_b 5.7461
_cell_length_c 3.8831
_cell_angle_alpha 90.00
_cell_angle_beta 90.00
_cell_angle_gamma 90.00
_space_group_name_H-M_alt 'P 4/m m m'
_space_group_IT_number 123
_space_group_name_Hall '-P 4 2'
loop_
_atom_site_label
_atom_site_type_symbol
_atom_site_fract_x
_atom_site_fract_y
_atom_site_fract_z
Sc1 Sc 0.0000 0.0000 0.0000
Be1 Be 0.5000 0.5000 0.5000
Sn1 Sn 0.0000 0.5000 0.0000
F1 F 0.0000 0.0000 0.5000
```

Summary:
Its uncorrected formation energy is -343.8 meV/atom. The value obtained for the density is 4.020 g/cm³. The value obtained for the density of states at the Fermi level is 0.67 states/eV/atom. The calculation puts the total energy at -21.65 eV for the cell shown.

=====

A plane-wave DFT calculation with PBE-GGA was carried out for SrSc2BeF after structural relaxation.

Structure (CIF):
```
data_SrSc2BeF
_chemical_formula_sum 'Sr1 Sc2 Be1 F1'
_cell_length_a 4.4596
_cell_length_b 4.4596
_cell_length_c 5.8701
_cell_angle_alpha 90.00
_cell_angle_beta 90.00
_cell_angle_gamma 90.00
_space_group_name_H-M_alt 'P 4/m m m'
_space_group_IT_number 123
_space_group_name_Hall '-P 4 2'
loop_
_atom_site_label
_atom_site_type_symbol
_atom_site_fract_x
_atom_site_fract_y
_atom_site_fract_z
Sr1 Sr 0.0000 0.0000 0.0000
Sc1 Sc 0.0000 0.5000 0.5000
Be1 Be 0.5000 0.5000 0.0000
F1 F 0.5000 0.5000 0.5000
```

Summary:
Its uncorrected formation energy is -368.4 meV/atom. The value obtained for the density is 2.924 g/cm³. The value obtained for the density of states at the Fermi level is 1.22 states/eV/atom. The calculation puts the total energy at -21.78 eV for the cell shown.

=====

A plane-wave DFT calculation with PBE-GGA was carried out for Sc2BeTlF after structural relaxation.

Structure (CIF):
```
data_Sc2BeTlF
_chemical_formula_sum 'Sc2 Be1 Tl1 F1'
_cell_length_a 4.7308
_cell_length_b 4.7308
_cell_length_c 3.7934
_cell_angle_alpha 90.00
_cell_angle_beta 90.00
_cell_angle_gamma 90.00
_space_group_name_H-M_alt 'P 4/m m m'
_space_group_IT_number 123
_space_group_name_Hall '-P 4 2'
loop_
_atom_site_label
_atom_site_type_symbol
_atom_site_fract_x
_atom_site_fract_y
_atom_site_fract_z
Sc1 Sc 0.0000 0.5000 0.0000
Be1 Be 0.0000 0.0000 0.5000
Tl1 Tl 0.5000 0.5000 0.5000
F1 F 0.0000 0.0000 0.0000
```

Summary:
Its uncorrected formation energy is -704.4 meV/atom. The value obtained for the density is 6.304 g/cm³. The value obtained for the density of states at the Fermi level is 0.25 states/eV/atom. The calculation puts the total energy at -24.15 eV for the cell shown.

=====

A plane-wave DFT calculation with PBE-GGA was carried out for ZrScBe2F after structural relaxation.

Structure (CIF):
```
data_ZrScBe2F
_chemical_formula_sum 'Zr1 Sc1 Be2 F1'
_cell_length_a 4.2971
_cell_length_b 4.2971
_cell_length_c 4.0906
_cell_angle_alpha 90.00
_cell_angle_beta 90.00
_cell_angle_gamma 90.00
_space_group_name_H-M_alt 'P 4/m m m'
_space_group_IT_number 123
_space_group_name_Hall '-P 4 2'
loop_
_atom_site_label
_atom_site_type_symbol
_atom_site_fract_x
_atom_site_fract_y
_atom_site_fract_z
Zr1 Zr 0.0000 0.0000 0.0000
Sc1 Sc 0.5000 0.5000 0.0000
Be1 Be 0.0000 0.5000 0.5000
F1 F 0.5000 0.5000 0.5000
```

Summary:
Its uncorrected formation energy is -372.5 meV/atom. The value obtained for the density is 3.808 g/cm³. The value obtained for the density of states at the Fermi level is 0.71 states/eV/atom. The calculation puts the total energy at -26.07 eV for the cell shown.

=====

A plane-wave DFT calculation with PBE-GGA was carried out for BeSeF3 after structural relaxation.

Structure (CIF):
```
data_BeSeF3
_chemical_formula_sum 'Be1 Se1 F3'
_cell_length_a 4.3694
_cell_length_b 4.3694
_cell_length_c 4.3694
_cell_angle_alpha 90.00
_cell_angle_beta 90.00
_cell_angle_gamma 90.00
_space_group_name_H-M_alt 'P m -3 m'
_space_group_IT_number 221
_space_group_name_Hall '-P 4 2 3'
loop_
_atom_site_label
_atom_site_type_symbol
_atom_site_fract_x
_atom_site_fract_y
_atom_site_fract_z
Be1 Be 0.0000 0.0000 0.0000
Se1 Se 0.5000 0.5000 0.5000
F1 F 0.0000 0.5000 0.5000
```

Summary:
Its uncorrected formation energy is -290.2 meV/atom. The value obtained for the density is 2.886 g/cm³. The value obtained for the density of states at the Fermi level is 0.30 states/eV/atom. As for the energy above the lowest structure with this stoichiometry: 1133 meV per atom. The calculation puts the total energy at -14.28 eV for the cell shown.

=====

A plane-wave DFT calculation with PBE-GGA was carried out for Be3SeF after structural relaxation.

Structure (CIF):
```
data_Be3SeF
_chemical_formula_sum 'Be3 Se1 F1'
_cell_length_a 3.9877
_cell_length_b 3.9877
_cell_length_c 3.9877
_cell_angle_alpha 90.00
_cell_angle_beta 90.00
_cell_angle_gamma 90.00
_space_group_name_H-M_alt 'P m -3 m'
_space_group_IT_number 221
_space_group_name_Hall '-P 4 2 3'
loop_
_atom_site_label
_atom_site_type_symbol
_atom_site_fract_x
_atom_site_fract_y
_atom_site_fract_z
Be1 Be 0.0000 0.0000 0.5000
Se1 Se 0.5000 0.5000 0.5000
F1 F 0.0000 0.0000 0.0000
```

Summary:
Its uncorrected formation energy is 326.2 meV/atom. The value obtained for the density is 3.273 g/cm³. The value obtained for the density of states at the Fermi level is 0.51 states/eV/atom. As for the energy above the lowest structure with this stoichiometry: 0 meV per atom. The calculation puts the total energy at -14.90 eV for the cell shown.